Computed, not measured: a relaxed MnInO2F crystal at the PBE+U level of DFT.

Summary:
Total energy ... -5.7680 eV/atom
Spin magnetization ... 3.82 μB per formula unit
Density of states at the Fermi level ... 1.8 states/eV/cell

```
data_MnInO2F
_symmetry_space_group_name_H-M 'P 4/m m m'
_symmetry_Int_Tables_number 123
_symmetry_space_group_name_Hall '-P 4 2'
_cell_length_a 4.000
_cell_length_b 4.000
_cell_length_c 4.122
_cell_angle_alpha 90.00
_cell_angle_beta 90.00
_cell_angle_gamma 90.00
loop_
_atom_site_label
_atom_site_fract_x
_atom_site_fract_y
_atom_site_fract_z
Mn1 0.000 0.000 0.000
In1 0.500 0.500 0.500
O1 0.000 0.500 0.000
F1 0.000 0.000 0.500
```